Entry from Alexandria via LeMat-Bulk: a relaxed structure of TcOs2Cl (PBE).

Values from the calculation:
Its uncorrected energy is -31.84 eV per cell. Its space-group type is C2/m (12). The calculation puts the calculated volume at 15.0 Å³/atom.

```
TcOs2Cl
1.0
5.1571 0.0036 0.0201
4.3927 2.7018 0.0201
0.0480 0.0136 4.3148
Os Cl Tc
2 1 1
direct
0.4671 0.4671 0.5143 Os
0.0329 0.0329 0.9857 Os
0.2500 0.2500 0.2500 Cl
0.7500 0.7500 0.7500 Tc
```

=====

Entry from Alexandria via LeMat-Bulk: a relaxed structure of Tl3PbBr5 (PBE).

Values from the calculation:
Its uncorrected energy is -107.95 eV per cell. Its space-group type is P4_1 (76). The calculation puts the calculated volume at 34.9 Å³/atom.

```
Tl3PbBr5
1.0
8.9798 0.0000 0.0000
0.0000 8.9798 0.0000
0.0000 0.0000 15.5838
Br Tl Pb
20 12 4
direct
0.6469 0.8262 0.7233 Br
0.3618 0.5138 0.7544 Br
0.8262 0.3531 0.4733 Br
0.8302 0.9761 0.9568 Br
0.6382 0.4862 0.2544 Br
0.1738 0.6469 0.9733 Br
0.0196 0.3301 0.1006 Br
0.5138 0.6382 0.5044 Br
0.3531 0.1738 0.2233 Br
0.4862 0.3618 0.0044 Br
0.1698 0.0239 0.4568 Br
0.4939 0.7990 0.1002 Br
0.9804 0.6699 0.6006 Br
0.6699 0.0196 0.3506 Br
0.3301 0.9804 0.8506 Br
0.0239 0.8302 0.2068 Br
0.9761 0.1698 0.7068 Br
0.5061 0.2010 0.6002 Br
0.2010 0.4939 0.3502 Br
0.7990 0.5061 0.8502 Br
0.3602 0.8275 0.3195 Tl
0.1866 0.9947 0.0531 Tl
0.0053 0.1866 0.3031 Tl
0.6398 0.1725 0.8195 Tl
0.6824 0.1150 0.1309 Tl
0.8850 0.6824 0.3809 Tl
0.1150 0.3176 0.8809 Tl
0.1725 0.3602 0.5695 Tl
0.3176 0.8850 0.6309 Tl
0.8275 0.6398 0.0695 Tl
0.8134 0.0053 0.5531 Tl
0.9947 0.8134 0.8031 Tl
0.4786 0.6906 0.8979 Pb
0.6906 0.5214 0.6479 Pb
0.3094 0.4786 0.1479 Pb
0.5214 0.3094 0.3979 Pb
```

=====

These records have offset from the most stable computed form values of 25.5; 0.7 kJ per mole of atoms, in the order they appear.
These records have DOS at the Fermi energy values of 3.924; 0.000 states/eV/f.u., in the order they appear.
These records have formation energy from raw total energies values of 0.71; -0.87 eV/atom, in the order they appear.